1.
# Y2HgPt9 | Alexandria via LeMat-Bulk | PBE | relaxed
# Spin magnetization   0.0 μB per cell
# DFT formation energy   -0.6494 eV/atom
# Crystal system   tetragonal
# DFT total energy   -0.2309 Ha/atom
# Calculated density   17.0 g cm⁻³
data_Y2HgPt9
_chemical_formula_sum 'Y2 Hg1 Pt9'
_cell_length_a 4.1098
_cell_length_b 4.1098
_cell_length_c 12.3280
_cell_angle_alpha 90.00
_cell_angle_beta 90.00
_cell_angle_gamma 90.00
_symmetry_space_group_name_H-M 'P 4/m m m'
_symmetry_Int_Tables_number 123
_symmetry_space_group_name_Hall '-P 4 2'
loop_
_atom_site_label
_atom_site_type_symbol
_atom_site_fract_x
_atom_site_fract_y
_atom_site_fract_z
_atom_site_occupancy
Y1 Y 0.0000 0.0000 0.1687 1
Hg1 Hg 0.0000 0.0000 0.5000 1
Pt1 Pt 0.0000 0.5000 0.0000 1
Pt2 Pt 0.0000 0.5000 0.3353 1
Pt3 Pt 0.5000 0.5000 0.1678 1
Pt4 Pt 0.5000 0.5000 0.5000 1

2.
# TeWSe2 | Alexandria via LeMat-Bulk | PBE | relaxed
# ΔE_f (raw)   190 kJ/mol of formula units
# Spin magnetization   0.0 μB per cell
# Crystal system   orthorhombic
# DFT total energy   -0.1938 Ha/atom
# Calculated density   8.6 g cm⁻³
data_TeWSe2
_chemical_formula_sum 'Te2 W2 Se4'
_cell_length_a 3.3168
_cell_length_b 5.0885
_cell_length_c 10.6858
_cell_angle_alpha 90.00
_cell_angle_beta 90.00
_cell_angle_gamma 90.00
_symmetry_space_group_name_H-M 'C m m 2'
_symmetry_Int_Tables_number 35
_symmetry_space_group_name_Hall 'C 2 -2'
loop_
_atom_site_label
_atom_site_type_symbol
_atom_site_fract_x
_atom_site_fract_y
_atom_site_fract_z
_atom_site_occupancy
Te1 Te 0.0000 0.0000 0.0000 1
W1 W 0.0000 0.5000 0.7805 1
Se1 Se 0.0000 0.0000 0.6029 1
Se2 Se 0.0000 0.5000 0.2848 1

3.
# YFe2Ni2 | Alexandria via LeMat-Bulk | PBE | relaxed
# Spin magnetization   10.9 μB per cell
# DFT formation energy   -0.0360 eV/atom
# Distance to the lowest polymorph of the same formula   0.065 eV/atom
# Crystal system   tetragonal
# DFT total energy   -0.2582 Ha/atom
# Calculated density   7.0 g cm⁻³
data_YFe2Ni2
_chemical_formula_sum 'Y2 Fe4 Ni4'
_cell_length_a 3.8970
_cell_length_b 3.8970
_cell_length_c 9.9876
_cell_angle_alpha 90.00
_cell_angle_beta 90.00
_cell_angle_gamma 90.00
_symmetry_space_group_name_H-M 'I 4/m m m'
_symmetry_Int_Tables_number 139
_symmetry_space_group_name_Hall '-I 4 2'
loop_
_atom_site_label
_atom_site_type_symbol
_atom_site_fract_x
_atom_site_fract_y
_atom_site_fract_z
_atom_site_occupancy
Y1 Y 0.0000 0.0000 0.0000 1
Fe1 Fe 0.0000 0.0000 0.3850 1
Ni1 Ni 0.0000 0.5000 0.2500 1

4.
# SrPr4H10 | Alexandria via LeMat-Bulk | PBE | relaxed
# Spin magnetization   0.0 μB per cell
# Crystal system   trigonal
# DFT total energy   -0.1553 Ha/atom
# Calculated density   5.0 g cm⁻³
data_SrPr4H10
_chemical_formula_sum 'Sr3 Pr12 H30'
_cell_length_a 3.9366
_cell_length_b 3.9366
_cell_length_c 48.6850
_cell_angle_alpha 90.00
_cell_angle_beta 90.00
_cell_angle_gamma 120.00
_symmetry_space_group_name_H-M 'R -3 m'
_symmetry_Int_Tables_number 166
_symmetry_space_group_name_Hall '-R 3 2"'
loop_
_atom_site_label
_atom_site_type_symbol
_atom_site_fract_x
_atom_site_fract_y
_atom_site_fract_z
_atom_site_occupancy
Sr1 Sr 0.0000 0.0000 0.0000 1
Pr1 Pr 0.0000 0.0000 0.1994 1
Pr2 Pr 0.0000 0.0000 0.4019 1
H1 H 0.0000 0.0000 0.0527 1
H2 H 0.0000 0.0000 0.1503 1
H3 H 0.0000 0.0000 0.2489 1
H4 H 0.0000 0.0000 0.3532 1
H5 H 0.0000 0.0000 0.4514 1

5.
# NaTl3Hg6 | Alexandria via LeMat-Bulk | PBE | relaxed
# Spin magnetization   0.0 μB per cell
# DFT formation energy   -0.0745 eV/atom
# Distance to the lowest polymorph of the same formula   0.000 eV/atom
# Crystal system   monoclinic
# DFT total energy   -0.0403 Ha/atom
# Calculated density   11.0 g cm⁻³
data_NaTl3Hg6
_chemical_formula_sum 'Na2 Tl6 Hg12'
_cell_length_a 8.7248
_cell_length_b 5.1352
_cell_length_c 12.5734
_cell_angle_alpha 90.00
_cell_angle_beta 99.19
_cell_angle_gamma 90.00
_symmetry_space_group_name_H-M 'P 1 21/m 1'
_symmetry_Int_Tables_number 11
_symmetry_space_group_name_Hall '-P 2yb'
loop_
_atom_site_label
_atom_site_type_symbol
_atom_site_fract_x
_atom_site_fract_y
_atom_site_fract_z
_atom_site_occupancy
Na1 Na 0.0508 0.2500 0.3298 1
Tl1 Tl 0.2375 0.2500 0.1010 1
Tl2 Tl 0.3565 0.7500 0.2873 1
Tl3 Tl 0.3708 0.7500 0.7550 1
Hg1 Hg 0.0111 0.2500 0.8325 1
Hg2 Hg 0.1579 0.7500 0.9400 1
Hg3 Hg 0.1652 0.7500 0.4866 1
Hg4 Hg 0.1929 0.2500 0.6318 1
Hg5 Hg 0.4146 0.2500 0.4476 1
Hg6 Hg 0.4715 0.2500 0.9239 1

6.
# Ca3ScPb12 | Alexandria via LeMat-Bulk | PBE | relaxed
# Spin magnetization   0.0 μB per cell
# DFT formation energy   -0.2700 eV/atom
# Crystal system   tetragonal
# DFT total energy   -0.1405 Ha/atom
# Calculated density   9.2 g cm⁻³
data_Ca3ScPb12
_chemical_formula_sum 'Ca3 Sc1 Pb12'
_cell_length_a 4.9281
_cell_length_b 4.9281
_cell_length_c 19.7426
_cell_angle_alpha 90.00
_cell_angle_beta 90.00
_cell_angle_gamma 90.00
_symmetry_space_group_name_H-M 'P 4/m m m'
_symmetry_Int_Tables_number 123
_symmetry_space_group_name_Hall '-P 4 2'
loop_
_atom_site_label
_atom_site_type_symbol
_atom_site_fract_x
_atom_site_fract_y
_atom_site_fract_z
_atom_site_occupancy
Ca1 Ca 0.0000 0.0000 0.0000 1
Ca2 Ca 0.0000 0.0000 0.2545 1
Sc1 Sc 0.0000 0.0000 0.5000 1
Pb1 Pb 0.0000 0.5000 0.1263 1
Pb2 Pb 0.0000 0.5000 0.3810 1
Pb3 Pb 0.5000 0.5000 0.0000 1
Pb4 Pb 0.5000 0.5000 0.2527 1
Pb5 Pb 0.5000 0.5000 0.5000 1

7.
# Nd3Er2UN6 | Alexandria via LeMat-Bulk | PBE | relaxed
# ΔE_f (raw)   -1795 kJ/mol of formula units
# Spin magnetization   0.0 μB per cell
# Crystal system   monoclinic
# DFT total energy   -0.3163 Ha/atom
# Calculated density   9.7 g cm⁻³
data_Nd3Er2UN6
_chemical_formula_sum 'Nd6 Er4 U2 N12'
_cell_length_a 6.0717
_cell_length_b 10.5024
_cell_length_c 6.1674
_cell_angle_alpha 90.00
_cell_angle_beta 109.13
_cell_angle_gamma 90.00
_symmetry_space_group_name_H-M 'C 1 2/m 1'
_symmetry_Int_Tables_number 12
_symmetry_space_group_name_Hall '-C 2y'
loop_
_atom_site_label
_atom_site_type_symbol
_atom_site_fract_x
_atom_site_fract_y
_atom_site_fract_z
_atom_site_occupancy
Nd1 Nd 0.0000 0.0000 0.0000 1
Nd2 Nd 0.0000 0.3316 0.0000 1
Er1 Er 0.0000 0.1662 0.5000 1
U1 U 0.0000 0.5000 0.5000 1
N1 N 0.2298 0.3433 0.7193 1
N2 N 0.2403 0.5000 0.2792 1

8.
# CrCd | Alexandria via LeMat-Bulk | PBE | relaxed
# Spin magnetization   7.4 μB per cell
# DFT formation energy   0.6333 eV/atom
# Crystal system   hexagonal
# DFT total energy   -0.1704 Ha/atom
# Calculated density   7.3 g cm⁻³
data_CrCd
_chemical_formula_sum 'Cr2 Cd2'
_cell_length_a 3.0404
_cell_length_b 3.0404
_cell_length_c 9.3917
_cell_angle_alpha 90.00
_cell_angle_beta 90.00
_cell_angle_gamma 120.00
_symmetry_space_group_name_H-M 'P 63/m m c'
_symmetry_Int_Tables_number 194
_symmetry_space_group_name_Hall '-P 6c 2c'
loop_
_atom_site_label
_atom_site_type_symbol
_atom_site_fract_x
_atom_site_fract_y
_atom_site_fract_z
_atom_site_occupancy
Cr1 Cr 0.3333 0.6667 0.2500 1
Cd1 Cd 0.0000 0.0000 0.0000 1

9.
# TeMoIN2 | Alexandria via LeMat-Bulk | PBE | relaxed
# ΔE_f (raw)   459 kJ/mol of formula units
# Spin magnetization   0.0 μB per cell
# Distance to the lowest polymorph of the same formula   0.229 eV/atom
# Crystal system   tetragonal
# DFT total energy   -0.2015 Ha/atom
# Calculated density   6.3 g cm⁻³
data_TeMoIN2
_chemical_formula_sum 'Te1 Mo1 I1 N2'
_cell_length_a 4.0698
_cell_length_b 4.0698
_cell_length_c 6.0686
_cell_angle_alpha 90.00
_cell_angle_beta 90.00
_cell_angle_gamma 90.00
_symmetry_space_group_name_H-M 'P 4/m m m'
_symmetry_Int_Tables_number 123
_symmetry_space_group_name_Hall '-P 4 2'
loop_
_atom_site_label
_atom_site_type_symbol
_atom_site_fract_x
_atom_site_fract_y
_atom_site_fract_z
_atom_site_occupancy
Te1 Te 0.0000 0.0000 0.0000 1
Mo1 Mo 0.5000 0.5000 0.5000 1
I1 I 0.5000 0.5000 0.0000 1
N1 N 0.0000 0.5000 0.5000 1

10.
# LiPdPb2O6 | Alexandria via LeMat-Bulk | PBE | relaxed
# ΔE_f (raw)   -884 kJ/mol of formula units
# Spin magnetization   0.0 μB per cell
# Crystal system   monoclinic
# DFT total energy   -0.1964 Ha/atom
# Calculated density   8.3 g cm⁻³
data_LiPdPb2O6
_chemical_formula_sum 'Li2 Pd2 Pb4 O12'
_cell_length_a 5.4239
_cell_length_b 5.5964
_cell_length_c 9.7532
_cell_angle_alpha 90.00
_cell_angle_beta 122.17
_cell_angle_gamma 90.00
_symmetry_space_group_name_H-M 'P 1 21/c 1'
_symmetry_Int_Tables_number 14
_symmetry_space_group_name_Hall '-P 2ybc'
loop_
_atom_site_label
_atom_site_type_symbol
_atom_site_fract_x
_atom_site_fract_y
_atom_site_fract_z
_atom_site_occupancy
Li1 Li 0.0000 0.0000 0.0000 1
Pd1 Pd 0.5000 0.0000 0.5000 1
Pb1 Pb 0.2097 0.0554 0.7418 1
O1 O 0.1487 0.2041 0.4358 1
O2 O 0.2225 0.7180 0.4180 1
O3 O 0.4099 0.0697 0.2728 1

11.
# BaBr3 | Alexandria via LeMat-Bulk | PBE | relaxed
# ΔE_f (raw)   -572 kJ/mol of formula units
# Spin magnetization   1.8 μB per cell
# Crystal system   orthorhombic
# DFT total energy   -0.1183 Ha/atom
# Calculated density   3.9 g cm⁻³
data_BaBr3
_chemical_formula_sum 'Ba4 Br12'
_cell_length_a 8.5212
_cell_length_b 9.1895
_cell_length_c 8.1702
_cell_angle_alpha 90.00
_cell_angle_beta 90.00
_cell_angle_gamma 90.00
_symmetry_space_group_name_H-M 'P n m a'
_symmetry_Int_Tables_number 62
_symmetry_space_group_name_Hall '-P 2ac 2n'
loop_
_atom_site_label
_atom_site_type_symbol
_atom_site_fract_x
_atom_site_fract_y
_atom_site_fract_z
_atom_site_occupancy
Ba1 Ba 0.1826 0.2500 0.0254 1
Br1 Br 0.0299 0.2500 0.6674 1
Br2 Br 0.1072 0.5655 0.7955 1

12.
# DyHoSn2 | Alexandria via LeMat-Bulk | PBE | relaxed
# Spin magnetization   0.0 μB per cell
# DFT formation energy   -0.7179 eV/atom
# Crystal system   orthorhombic
# DFT total energy   -0.1843 Ha/atom
# Calculated density   8.6 g cm⁻³
data_DyHoSn2
_chemical_formula_sum 'Dy2 Ho2 Sn4'
_cell_length_a 4.2992
_cell_length_b 4.4779
_cell_length_c 11.3909
_cell_angle_alpha 90.00
_cell_angle_beta 90.00
_cell_angle_gamma 90.00
_symmetry_space_group_name_H-M 'A m m 2'
_symmetry_Int_Tables_number 38
_symmetry_space_group_name_Hall 'A 2 -2'
loop_
_atom_site_label
_atom_site_type_symbol
_atom_site_fract_x
_atom_site_fract_y
_atom_site_fract_z
_atom_site_occupancy
Dy1 Dy 0.0000 0.0000 0.0000 1
Ho1 Ho 0.5000 0.0000 0.7326 1
Sn1 Sn 0.0000 0.0000 0.2721 1
Sn2 Sn 0.5000 0.0000 0.4605 1